! BaCeSe | Alexandria | PBE-GGA | optimized geometry; values from VASP
&SYSTEM
  ibrav = 0, nat = 6, ntyp = 3
/
ATOMIC_SPECIES
Ba 137.33 Ba.upf
Ce 140.12 Ce.upf
Se 78.96 Se.upf
CELL_PARAMETERS angstrom
-2.1048 2.7091 9.3154
2.1048 -2.7091 9.3154
2.1048 2.7091 -9.3154
ATOMIC_POSITIONS crystal
Ba 0.1696 0.1696 0.0000
Ba 0.8304 0.8304 0.0000
Ce 0.2562 0.5000 0.7562
Ce 0.7438 0.5000 0.2438
Se 0.3484 0.3484 0.0000
Se 0.6516 0.6516 0.0000
! - formation energy without anion corrections (kJ/mol of atoms) = -84.09